[1]
Here is PrLuMgCu after structural relaxation from the Alexandria database. Energies are from PBE-GGA.

Computed properties:
The value obtained for the formation energy is -40 meV per atom. The calculation puts the size of the total moment at 0.00 μB per formula unit. The uncorrected energy is -3.79 eV/atom.

Cell: 7.3307 7.3307 7.3307 Å, 90.00 90.00 90.00°
Closest atoms and distances in Å follow each position.
Space group F-43m (No. 216)
Symmetry-distinct sites (fractional):
Pr: 0.0000 0.0000 0.0000  4 Mg 3.17, 4 Cu 3.17
Lu: 0.0000 0.0000 0.5000  4 Mg 3.17, 4 Cu 3.17
Mg: 0.2500 0.2500 0.7500  4 Pr 3.17, 4 Lu 3.17
Cu: 0.2500 0.2500 0.2500  4 Pr 3.17, 4 Lu 3.17

***

[2]
Here is MgZn2In after structural relaxation from the Alexandria database. Energies are from PBE-GGA.

Computed properties:
The value obtained for the formation energy is 2 meV per atom. The calculation puts the size of the total moment at 0.00 μB per formula unit. The uncorrected energy is -1.72 eV/atom.

Cell: 4.2019 4.2103 8.7255 Å, 90.00 90.00 90.00°
Closest atoms and distances in Å follow each position.
Space group Imm2 (No. 44)
Symmetry-distinct sites (fractional):
Mg: 0.0000 0.0000 0.0000  8 Zn 2.97-3.03, 4 In 3.03
Zn: 0.0000 0.0000 0.4994  4 Mg 2.97, 4 Zn 3.02-3.04, 4 In 3.03
Zn: 0.0000 0.5000 0.7505  4 In 2.97, 4 Zn 3.02-3.04, 4 Mg 3.03
In: 0.0000 0.5000 0.2496  8 Zn 2.97-3.03, 4 Mg 3.03

***

[3]
Here is SnIrRu2 after structural relaxation from the Alexandria database. Energies are from PBE-GGA.

Computed properties:
The value obtained for the formation energy is 933 meV per atom. The calculation puts the size of the total moment at 0.00 μB per formula unit. The uncorrected energy is -6.92 eV/atom.

Cell: 5.7172 5.7172 11.6853 Å, 90.00 90.00 90.00°
Closest atoms and distances in Å follow each position.
Space group I-42d (No. 122)
Symmetry-distinct sites (fractional):
Sn: 0.0000 0.0000 0.0000  4 Ru 2.62
Ir: 0.0000 0.0000 0.5000  4 Ru 2.38
Ru: 0.2126 0.2500 0.6250  2 Ir 2.38, 2 Sn 2.62

***

[4]
Here is TaNi2Ag after structural relaxation from the Alexandria database. Energies are from PBE-GGA.

Computed properties:
The value obtained for the formation energy is 118 meV per atom. The calculation puts the size of the total moment at 0.00 μB per formula unit. The uncorrected energy is -6.45 eV/atom. The energy above the most stable polymorph in this dataset comes out at 128 meV per atom.

Cell: 2.9954 2.9954 6.4595 Å, 90.00 90.00 90.00°
Closest atoms and distances in Å follow each position.
Space group P4mm (No. 99)
Symmetry-distinct sites (fractional):
Ta: 0.0000 0.0000 0.0000  5 Ni 2.56-2.69
Ni: 0.0000 0.0000 0.5834  4 Ni 2.46, 4 Ag 2.69, 1 Ta 2.69
Ni: 0.5000 0.5000 0.7775  4 Ni 2.46, 4 Ta 2.56
Ag: 0.5000 0.5000 0.3279  5 Ni 2.69-2.90, 4 Ta 3.00, 4 Ag 3.00